Entry from the Alexandria database: a geometry-optimized CdPdIN2 structure (GGA-PBE).

Calculated values
ΔE to the lowest computed polymorph in meV per atom: 0
Space group: P4/mmm, No. 123
Energy relative to the elements, uncorrected in eV per atom: 1.369
Crystal system: tetragonal

Cell: 3.979 3.979 7.515 Å, 90.00 90.00 90.00°
Fractional coordinates of all 5 atoms:
I: 0.000 0.000 0.500
N: 0.000 0.500 0.000
N: 0.500 0.000 0.000
Pd: 0.000 0.000 0.000
Cd: 0.500 0.500 0.500